[1]
VASP calculation (PBE) on BaMg2GeN4 after structural relaxation.

Energy relative to the elements, uncorrected, eV/atom: -0.337

a = 6.693 Å, b = 6.016 Å, c = 5.928 Å
α = 90.00°, β = 90.00°, γ = 90.00°
Fractional positions:
Ba 0.000 0.174 0.000
Ba 0.500 0.826 0.500
Mg 0.243 0.335 0.502
Mg 0.257 0.665 0.002
Mg 0.743 0.665 0.002
Mg 0.757 0.335 0.502
Ge 0.000 0.824 0.538
Ge 0.500 0.176 0.038
N 0.000 0.122 0.481
N 0.000 0.745 0.832
N 0.125 0.620 0.330
N 0.375 0.380 0.830
N 0.500 0.255 0.332
N 0.500 0.878 0.981
N 0.625 0.380 0.830
N 0.875 0.620 0.330

=====

[2]
VASP calculation (PBE) on Ba3MgGeN4 after structural relaxation.

Energy relative to the elements, uncorrected, eV/atom: -0.562

a = 6.292 Å, b = 10.722 Å, c = 10.268 Å
α = 90.00°, β = 90.00°, γ = 90.00°
Fractional positions:
Ba 0.113 0.155 0.091
Ba 0.113 0.345 0.409
Ba 0.250 0.000 0.411
Ba 0.250 0.500 0.089
Ba 0.387 0.655 0.409
Ba 0.387 0.845 0.091
Ba 0.613 0.155 0.909
Ba 0.613 0.345 0.591
Ba 0.750 0.000 0.589
Ba 0.750 0.500 0.911
Ba 0.887 0.655 0.591
Ba 0.887 0.845 0.909
Mg 0.162 0.250 0.750
Mg 0.338 0.750 0.750
Mg 0.662 0.250 0.250
Mg 0.838 0.750 0.250
Ge 0.250 0.000 0.734
Ge 0.250 0.500 0.766
Ge 0.750 0.000 0.266
Ge 0.750 0.500 0.234
N 0.028 0.084 0.834
N 0.028 0.416 0.666
N 0.130 0.635 0.865
N 0.130 0.865 0.635
N 0.370 0.135 0.635
N 0.370 0.365 0.865
N 0.472 0.584 0.666
N 0.472 0.916 0.834
N 0.528 0.084 0.166
N 0.528 0.416 0.334
N 0.630 0.635 0.135
N 0.630 0.865 0.365
N 0.870 0.135 0.365
N 0.870 0.365 0.135
N 0.972 0.584 0.334
N 0.972 0.916 0.166

=====

[3]
VASP calculation (PBE) on Ba2NaMg3Ge4 after structural relaxation.

Formation enthalpy at 0 K, eV/atom: -0.339

a = 4.723 Å, b = 4.723 Å, c = 11.721 Å
α = 90.00°, β = 90.00°, γ = 90.00°
Fractional positions:
Ba 0.000 0.500 0.245
Ba 0.500 0.000 0.755
Na 0.000 0.000 0.500
Mg 0.000 0.500 0.870
Mg 0.500 0.000 0.130
Mg 0.500 0.500 0.500
Ge 0.000 0.000 0.000
Ge 0.000 0.500 0.641
Ge 0.500 0.000 0.359
Ge 0.500 0.500 0.000

=====

[4]
VASP calculation (PBE) on BaMgNiGe after structural relaxation.

Formation enthalpy at 0 K, eV/atom: -0.276

a = 4.202 Å, b = 4.202 Å, c = 12.458 Å
α = 90.00°, β = 90.00°, γ = 90.00°
Fractional positions:
Ba 0.250 0.250 0.225
Ba 0.750 0.750 0.775
Mg 0.250 0.750 0.500
Mg 0.750 0.250 0.500
Ni 0.250 0.750 0.000
Ni 0.750 0.250 0.000
Ge 0.250 0.250 0.910
Ge 0.750 0.750 0.090

=====

[5]
VASP calculation (PBE) on BaMg2NiGe after structural relaxation.

Formation enthalpy at 0 K, eV/atom: -0.226

a = 5.007 Å, b = 5.007 Å, c = 4.696 Å
α = 90.00°, β = 90.00°, γ = 90.00°
Fractional positions:
Ba 0.000 0.000 0.000
Mg 0.000 0.500 0.500
Mg 0.500 0.000 0.500
Ni 0.500 0.500 0.500
Ge 0.500 0.500 0.000

=====

[6]
VASP calculation (PBE) on BaMgGe2O6 after structural relaxation.

Energy relative to the elements, uncorrected, eV/atom: -2.106

a = 7.659 Å, b = 7.659 Å, c = 6.015 Å
α = 104.58°, β = 104.58°, γ = 91.48°
Fractional positions:
Ba 0.120 0.880 0.750
Ba 0.880 0.120 0.250
Mg 0.235 0.765 0.250
Mg 0.765 0.235 0.750
Ge 0.220 0.378 0.822
Ge 0.378 0.220 0.322
Ge 0.622 0.780 0.678
Ge 0.780 0.622 0.178
O 0.019 0.229 0.717
O 0.198 0.605 0.935
O 0.229 0.019 0.217
O 0.292 0.366 0.551
O 0.366 0.292 0.051
O 0.395 0.802 0.565
O 0.605 0.198 0.435
O 0.634 0.708 0.949
O 0.708 0.634 0.449
O 0.771 0.981 0.783
O 0.802 0.395 0.065
O 0.981 0.771 0.283

=====

[7]
VASP calculation (PBE) on Ba3MgGe2O8 after structural relaxation.

Energy relative to the elements, uncorrected, eV/atom: -2.418

a = 5.806 Å, b = 5.806 Å, c = 7.478 Å
α = 90.00°, β = 90.00°, γ = 120.00°
Fractional positions:
Ba 0.000 0.000 0.000
Ba 0.333 0.667 0.661
Ba 0.667 0.333 0.339
Mg 0.000 0.000 0.500
Ge 0.333 0.667 0.229
Ge 0.667 0.333 0.771
O 0.169 0.338 0.323
O 0.169 0.831 0.323
O 0.333 0.667 0.997
O 0.338 0.169 0.677
O 0.662 0.831 0.323
O 0.667 0.333 0.003
O 0.831 0.169 0.677
O 0.831 0.662 0.677

=====

[8]
VASP calculation (PBE) on Ba2MgGe2O7 after structural relaxation.

Energy relative to the elements, uncorrected, eV/atom: -2.386

a = 8.489 Å, b = 8.489 Å, c = 5.632 Å
α = 90.00°, β = 90.00°, γ = 90.00°
Fractional positions:
Ba 0.165 0.335 0.490
Ba 0.335 0.835 0.510
Ba 0.665 0.165 0.510
Ba 0.835 0.665 0.490
Mg 0.000 0.000 0.000
Mg 0.500 0.500 0.000
Ge 0.141 0.641 0.959
Ge 0.359 0.141 0.041
Ge 0.641 0.859 0.041
Ge 0.859 0.359 0.959
O 0.000 0.500 0.837
O 0.079 0.817 0.815
O 0.139 0.639 0.269
O 0.183 0.079 0.185
O 0.317 0.579 0.815
O 0.361 0.139 0.731
O 0.421 0.317 0.185
O 0.500 0.000 0.163
O 0.579 0.683 0.185
O 0.639 0.861 0.731
O 0.683 0.421 0.815
O 0.817 0.921 0.185
O 0.861 0.361 0.269
O 0.921 0.183 0.815

=====

[9]
VASP calculation (PBE) on BaMg2GeOs after structural relaxation.

Formation enthalpy at 0 K, eV/atom: -0.165

a = 5.152 Å, b = 5.152 Å, c = 4.811 Å
α = 90.00°, β = 90.00°, γ = 90.00°
Fractional positions:
Ba 0.000 0.000 0.000
Mg 0.000 0.500 0.500
Mg 0.500 0.000 0.500
Ge 0.500 0.500 0.000
Os 0.500 0.500 0.500

=====

[10]
VASP calculation (PBE) on Ba2MgGeP after structural relaxation.

Formation enthalpy at 0 K, eV/atom: -0.391

a = 6.255 Å, b = 6.255 Å, c = 4.733 Å
α = 90.00°, β = 90.00°, γ = 90.00°
Fractional positions:
Ba 0.000 0.500 0.000
Ba 0.500 0.000 0.000
Mg 0.000 0.000 0.500
Ge 0.500 0.500 0.500
P 0.000 0.000 0.000

=====

[11]
VASP calculation (PBE) on BaMgGeP2 after structural relaxation.

Formation enthalpy at 0 K, eV/atom: 0.024

a = 5.091 Å, b = 5.091 Å, c = 4.940 Å
α = 90.00°, β = 90.00°, γ = 90.00°
Fractional positions:
Ba 0.000 0.000 0.000
Mg 0.500 0.500 0.000
Ge 0.500 0.500 0.500
P 0.000 0.500 0.500
P 0.500 0.000 0.500

=====

[12]
VASP calculation (PBE) on BaMgGe2Pb after structural relaxation.

Formation enthalpy at 0 K, eV/atom: 0.293

a = 5.131 Å, b = 5.131 Å, c = 5.956 Å
α = 90.00°, β = 90.00°, γ = 90.00°
Fractional positions:
Ba 0.000 0.000 0.000
Mg 0.000 0.000 0.500
Ge 0.000 0.500 0.500
Ge 0.500 0.000 0.500
Pb 0.500 0.500 0.000

=====

Number 1: total magnetic moment 0.00 μB per formula unit. Number 2: total magnetic moment 0.00 μB per formula unit. Number 3: total magnetic moment 0.00 μB per formula unit. Number 4: total magnetic moment 0.00 μB per formula unit. Number 5: total magnetic moment 0.00 μB per formula unit. Number 6: total magnetic moment 0.00 μB per formula unit. Number 7: total magnetic moment 0.00 μB per formula unit. Number 8: total magnetic moment 0.00 μB per formula unit. Number 9: total magnetic moment 0.00 μB per formula unit. Number 10: total magnetic moment 0.00 μB per formula unit. Number 11: total magnetic moment 0.00 μB per formula unit. Number 12: total magnetic moment 0.00 μB per formula unit.